# Ca2MoIr

A relaxed structure of Ca2MoIr (PBE, the Alexandria database).

Geometry as CIF:
```
data_Ca2MoIr
_chemical_formula_sum 'Ca2 Mo1 Ir1'
_cell_length_a 3.1717
_cell_length_b 4.3186
_cell_length_c 7.2585
_cell_angle_alpha 90.00
_cell_angle_beta 102.33
_cell_angle_gamma 90.00
_symmetry_space_group_name_H-M 'P 1 m 1'
_symmetry_Int_Tables_number 6
loop_
_symmetry_equiv_pos_as_xyz
'x,y,z'
'x,-y,z'
loop_
_atom_site_label
_atom_site_type_symbol
_atom_site_fract_x
_atom_site_fract_y
_atom_site_fract_z
_atom_site_occupancy
Ca1 Ca 0.0000 0.0000 0.0000 1
Ca2 Ca 0.2711 0.5000 0.6182 1
Mo1 Mo 0.5785 0.0000 0.3788 1
Ir1 Ir 0.6897 0.5000 0.2388 1
```

Values from the calculation:
Energy relative to the elements = 0.268 eV per atom
Offset from the most stable computed form = 252 meV per atom



# Li2CaTl4Pb

A relaxed structure of Li2CaTl4Pb (PBE, the Alexandria database).

Geometry as CIF:
```
data_Li2CaTl4Pb
_chemical_formula_sum 'Li8 Ca4 Tl16 Pb4'
_cell_length_a 4.2075
_cell_length_b 14.8393
_cell_length_c 14.2393
_cell_angle_alpha 90.00
_cell_angle_beta 90.00
_cell_angle_gamma 90.00
_symmetry_space_group_name_H-M 'C m c m'
_symmetry_Int_Tables_number 63
_symmetry_space_group_name_Hall '-C 2c 2'
loop_
_atom_site_label
_atom_site_type_symbol
_atom_site_fract_x
_atom_site_fract_y
_atom_site_fract_z
_atom_site_occupancy
Li1 Li 0.0000 0.1163 0.1010 1
Ca1 Ca 0.0000 0.3046 0.2500 1
Tl1 Tl 0.0000 0.0319 0.7500 1
Tl2 Tl 0.0000 0.2136 0.5743 1
Tl3 Tl 0.0000 0.5000 0.0000 1
Pb1 Pb 0.0000 0.3731 0.7500 1
```

Values from the calculation:
Energy relative to the elements = -0.147 eV per atom



# LaDy4Ag5

A relaxed structure of LaDy4Ag5 (PBE, the Alexandria database).

Geometry as CIF:
```
data_LaDy4Ag5
_chemical_formula_sum 'La1 Dy4 Ag5'
_cell_length_a 3.6351
_cell_length_b 3.6351
_cell_length_c 18.7225
_cell_angle_alpha 90.00
_cell_angle_beta 90.00
_cell_angle_gamma 90.00
_symmetry_space_group_name_H-M 'P 4/m m m'
_symmetry_Int_Tables_number 123
_symmetry_space_group_name_Hall '-P 4 2'
loop_
_atom_site_label
_atom_site_type_symbol
_atom_site_fract_x
_atom_site_fract_y
_atom_site_fract_z
_atom_site_occupancy
La1 La 0.0000 0.0000 0.0000 1
Dy1 Dy 0.0000 0.0000 0.2065 1
Dy2 Dy 0.0000 0.0000 0.4021 1
Ag1 Ag 0.5000 0.5000 0.1138 1
Ag2 Ag 0.5000 0.5000 0.3043 1
Ag3 Ag 0.5000 0.5000 0.5000 1
```

Values from the calculation:
Energy relative to the elements = -0.311 eV per atom



| no. | DOS(E_F) (states/eV/atom) |
| --- | --- |
| 1 | 0.590 |
| 2 | 0.324 |
| 3 | 0.454 |